1.
Tb4CdIn3 | PBE | relaxed

Summary:
ΔH_f (0 K) in eV/atom: -0.39

Cell lengths 3.7933, 4.8169, 12.1211 Å; angles 90.00, 90.00, 90.00 degrees
Space group Pmm2 (No. 25)
One atom of each set of equivalent atoms:
1 Tb 0.0000 0.0000 0.0000 [1 per cell]
2 Tb 0.0000 0.5000 0.3106 [1 per cell]
3 Tb 0.5000 0.0000 0.4961 [1 per cell]
4 Tb 0.5000 0.5000 0.8120 [1 per cell]
5 Cd 0.5000 0.0000 0.2303 [1 per cell]
6 In 0.0000 0.0000 0.7333 [1 per cell]
7 In 0.0000 0.5000 0.5773 [1 per cell]
8 In 0.5000 0.5000 0.0793 [1 per cell]



2.
NbGa2AgI | PBE | relaxed

Summary:
Energy in eV/atom: -3.31

Cell lengths 5.2580, 5.2580, 5.3501 Å; angles 90.00, 90.00, 90.00 degrees
Space group P4/mmm (No. 123)
One atom of each set of equivalent atoms:
1 Nb 0.0000 0.0000 0.0000 [1 per cell]
2 Ga 0.0000 0.5000 0.0000 [2 per cell]
3 Ag 0.0000 0.0000 0.5000 [1 per cell]
4 I 0.5000 0.5000 0.5000 [1 per cell]